Entry 1:
A plane-wave DFT calculation with PBE was carried out for a relaxed ZrSc2As crystal.

Cell lengths 5.562, 5.562, 5.562 Å; angles 135.99, 135.99, 63.99 degrees
Fractional positions:
Zr: 0.000 0.000 0.000
Sc: 0.500 0.500 0.000
Sc: 0.750 0.250 0.500
As: 0.250 0.750 0.500

* energy of formation: -0.46 eV/atom
* calculated volume: 20.482 A^3/atom
* SG: I-4m2

=====

Entry 2:
A plane-wave DFT calculation with PBE was carried out for a relaxed ZrSc2As crystal.

Cell lengths 4.163, 5.779, 5.779 Å; angles 37.57, 90.00, 90.00 degrees
Fractional positions:
Zr: 0.000 0.000 0.000
Sc: 0.000 0.725 0.725
Sc: 0.500 0.310 0.310
As: 0.500 0.573 0.573

* energy of formation: -0.53 eV/atom
* calculated volume: 21.191 A^3/atom
* SG: Amm2

=====

Entry 3:
A plane-wave DFT calculation with PBE was carried out for a relaxed ZrSc2As crystal.

Cell lengths 5.631, 5.631, 9.459 Å; angles 106.01, 106.01, 37.06 degrees
Fractional positions:
Zr: 0.141 0.141 0.405
Zr: 0.859 0.859 0.595
Sc: 0.354 0.354 0.888
Sc: 0.390 0.390 0.323
Sc: 0.610 0.610 0.677
Sc: 0.646 0.646 0.112
As: 0.070 0.070 0.874
As: 0.930 0.930 0.126

* energy of formation: -0.62 eV/atom
* calculated volume: 21.612 A^3/atom
* SG: C2/m

=====

Entry 4:
A plane-wave DFT calculation with PBE was carried out for a relaxed ZrScAs2 crystal.

Cell lengths 3.907, 5.965, 5.965 Å; angles 36.61, 90.00, 90.00 degrees
Fractional positions:
Zr: 0.000 0.000 0.000
Sc: 0.500 0.275 0.275
As: 0.000 0.760 0.760
As: 0.500 0.518 0.518

* energy of formation: -1.03 eV/atom
* calculated volume: 20.725 A^3/atom
* SG: Amm2

=====

Entry 5:
A plane-wave DFT calculation with PBE was carried out for a relaxed Zr2ScAs crystal.

Cell lengths 5.574, 5.574, 5.574 Å; angles 136.13, 136.13, 63.77 degrees
Fractional positions:
Zr: 0.000 0.000 0.000
Zr: 0.750 0.250 0.500
Sc: 0.500 0.500 0.000
As: 0.250 0.750 0.500

* energy of formation: -0.40 eV/atom
* calculated volume: 20.518 A^3/atom
* SG: I-4m2

=====

Entry 6:
A plane-wave DFT calculation with PBE was carried out for a relaxed ZrSc2As crystal.

Cell lengths 5.870, 5.870, 5.870 Å; angles 145.27, 131.94, 60.64 degrees
Fractional positions:
Zr: 0.000 0.000 0.000
Sc: 0.291 0.791 0.500
Sc: 0.709 0.209 0.500
As: 0.500 0.500 0.000

* energy of formation: -0.48 eV/atom
* calculated volume: 21.218 A^3/atom
* SG: Immm

=====

Entry 7:
A plane-wave DFT calculation with PBE was carried out for a relaxed Zr2ScAs crystal.

Cell lengths 3.539, 3.539, 6.623 Å; angles 90.00, 90.00, 90.00 degrees
Fractional positions:
Zr: 0.000 0.000 0.000
Zr: 0.500 0.500 0.280
Sc: 0.500 0.500 0.719
As: 0.000 0.000 0.498

* energy of formation: -0.54 eV/atom
* calculated volume: 20.734 A^3/atom
* SG: P4mm

=====

Entry 8:
A plane-wave DFT calculation with PBE was carried out for a relaxed ZrScAs2 crystal.

Cell lengths 5.846, 5.846, 5.846 Å; angles 140.98, 140.98, 56.37 degrees
Fractional positions:
Zr: 0.000 0.000 0.000
Sc: 0.750 0.250 0.500
As: 0.250 0.750 0.500
As: 0.500 0.500 0.000

* energy of formation: -0.79 eV/atom
* calculated volume: 19.639 A^3/atom
* SG: I-4m2

=====

Entry 9:
A plane-wave DFT calculation with PBE was carried out for a relaxed Zr2ScAs crystal.

Cell lengths 3.594, 3.594, 6.432 Å; angles 90.00, 90.00, 90.00 degrees
Fractional positions:
Zr: 0.000 0.000 0.223
Zr: 0.000 0.000 0.777
Sc: 0.500 0.500 0.500
As: 0.500 0.500 0.000

* energy of formation: -0.49 eV/atom
* calculated volume: 20.774 A^3/atom
* SG: P4/mmm

=====

Entry 10:
A plane-wave DFT calculation with PBE was carried out for a relaxed Zr2ScAs crystal.

Cell lengths 5.625, 5.625, 8.770 Å; angles 90.00, 90.00, 142.50 degrees
Fractional positions:
Zr: 0.137 0.863 0.540
Zr: 0.137 0.863 0.960
Zr: 0.863 0.137 0.040
Zr: 0.863 0.137 0.460
Sc: 0.437 0.563 0.750
Sc: 0.563 0.437 0.250
As: 0.269 0.731 0.250
As: 0.731 0.269 0.750

* energy of formation: -0.71 eV/atom
* calculated volume: 21.118 A^3/atom
* SG: Cmcm

=====

Entry 11:
A plane-wave DFT calculation with PBE was carried out for a relaxed ZrScAs2 crystal.

Cell lengths 6.743, 6.743, 6.743 Å; angles 33.24, 33.24, 33.24 degrees
Fractional positions:
Zr: 0.000 0.000 0.000
Sc: 0.500 0.500 0.500
As: 0.249 0.249 0.249
As: 0.751 0.751 0.751

* energy of formation: -1.25 eV/atom
* calculated volume: 20.500 A^3/atom
* SG: R-3m

=====

Entry 12:
A plane-wave DFT calculation with PBE was carried out for a relaxed Zr4ScAs crystal.

Cell lengths 5.811, 5.811, 5.811 Å; angles 60.00, 60.00, 60.00 degrees
Fractional positions:
Zr: 0.378 0.378 0.378
Zr: 0.378 0.378 0.866
Zr: 0.378 0.866 0.378
Zr: 0.866 0.378 0.378
Sc: 0.750 0.750 0.750
As: 0.000 0.000 0.000

* energy of formation: 0.27 eV/atom
* calculated volume: 23.130 A^3/atom
* SG: F-43m

=====

Entry 13:
A plane-wave DFT calculation with PBE was carried out for a relaxed ZrScAs2 crystal.

Cell lengths 4.787, 4.787, 4.787 Å; angles 60.00, 60.00, 60.00 degrees
Fractional positions:
Zr: 0.000 0.000 0.000
Sc: 0.250 0.250 0.250
As: 0.500 0.500 0.500
As: 0.750 0.750 0.750

* energy of formation: -0.19 eV/atom
* calculated volume: 19.388 A^3/atom
* SG: F-43m

=====

Entry 14:
A plane-wave DFT calculation with PBE was carried out for a relaxed Zr5Sc5As6 crystal.

Cell lengths 5.619, 8.048, 8.048 Å; angles 120.08, 90.00, 90.00 degrees
Fractional positions:
Zr: 0.000 0.000 0.000
Zr: 0.250 0.072 0.405
Zr: 0.250 0.405 0.072
Zr: 0.750 0.072 0.405
Zr: 0.750 0.405 0.072
Sc: 0.000 0.482 0.740
Sc: 0.000 0.740 0.482
Sc: 0.500 0.480 0.480
Sc: 0.500 0.739 0.997
Sc: 0.500 0.997 0.739
As: 0.000 0.121 0.737
As: 0.000 0.360 0.360
As: 0.000 0.737 0.121
As: 0.500 0.120 0.120
As: 0.500 0.359 0.739
As: 0.500 0.739 0.359

* energy of formation: -1.07 eV/atom
* calculated volume: 19.686 A^3/atom
* SG: Amm2

=====

Entry 15:
A plane-wave DFT calculation with PBE was carried out for a relaxed Zr5ScAs4 crystal.

Cell lengths 8.314, 8.314, 7.601 Å; angles 106.82, 106.82, 26.21 degrees
Fractional positions:
Zr: 0.000 0.000 0.000
Zr: 0.311 0.311 0.155
Zr: 0.342 0.342 0.672
Zr: 0.658 0.658 0.328
Zr: 0.689 0.689 0.845
Sc: 0.000 0.000 0.500
As: 0.170 0.170 0.586
As: 0.485 0.485 0.240
As: 0.515 0.515 0.760
As: 0.830 0.830 0.414

* energy of formation: -0.81 eV/atom
* calculated volume: 22.159 A^3/atom
* SG: C2/m

=====

Entry 16:
A plane-wave DFT calculation with PBE was carried out for a relaxed ZrSc2As crystal.

Cell lengths 5.532, 5.532, 5.591 Å; angles 119.97, 119.97, 36.97 degrees
Fractional positions:
Zr: 0.000 0.000 0.000
Sc: 0.208 0.208 0.785
Sc: 0.410 0.410 0.419
As: 0.700 0.700 0.414

* energy of formation: -0.52 eV/atom
* calculated volume: 21.864 A^3/atom
* SG: Cm

=====

Entry 17:
A plane-wave DFT calculation with PBE was carried out for a relaxed ZrSc2As crystal.

Cell lengths 3.498, 3.498, 6.824 Å; angles 90.00, 90.00, 90.00 degrees
Fractional positions:
Zr: 0.000 0.000 0.000
Sc: 0.500 0.500 0.284
Sc: 0.500 0.500 0.716
As: 0.000 0.000 0.500

* energy of formation: -0.56 eV/atom
* calculated volume: 20.877 A^3/atom
* SG: P4/mmm

=====

Entry 18:
A plane-wave DFT calculation with PBE was carried out for a relaxed ZrSc2As crystal.

Cell lengths 4.360, 4.360, 4.213 Å; angles 90.00, 90.00, 90.00 degrees
Fractional positions:
Zr: 0.000 0.000 0.000
Sc: 0.000 0.500 0.500
Sc: 0.500 0.000 0.500
As: 0.500 0.500 0.000

* energy of formation: -0.46 eV/atom
* calculated volume: 20.019 A^3/atom
* SG: P4/mmm

=====

Entry 19:
A plane-wave DFT calculation with PBE was carried out for a relaxed Zr2ScAs crystal.

Cell lengths 3.272, 3.272, 8.487 Å; angles 90.00, 90.00, 104.70 degrees
Fractional positions:
Zr: 0.000 0.000 0.214
Zr: 0.000 0.000 0.786
Sc: 0.500 0.500 0.500
As: 0.500 0.500 0.000

* energy of formation: -0.39 eV/atom
* calculated volume: 21.972 A^3/atom
* SG: Cmmm

=====

Entry 20:
A plane-wave DFT calculation with PBE was carried out for a relaxed ZrSc2As crystal.

Cell lengths 9.373, 9.373, 9.373 Å; angles 21.57, 21.57, 21.57 degrees
Fractional positions:
Zr: 0.000 0.000 0.000
Sc: 0.106 0.106 0.106
Sc: 0.894 0.894 0.894
As: 0.500 0.500 0.500

* energy of formation: -0.18 eV/atom
* calculated volume: 24.387 A^3/atom
* SG: R-3m

=====

Entry 21:
A plane-wave DFT calculation with PBE was carried out for a relaxed ZrSc2As crystal.

Cell lengths 10.157, 10.157, 4.148 Å; angles 90.00, 90.00, 156.87 degrees
Fractional positions:
Zr: 0.061 0.939 0.750
Zr: 0.939 0.061 0.250
Sc: 0.195 0.805 0.250
Sc: 0.436 0.564 0.750
Sc: 0.564 0.436 0.250
Sc: 0.805 0.195 0.750
As: 0.333 0.667 0.250
As: 0.667 0.333 0.750

* energy of formation: -0.66 eV/atom
* calculated volume: 21.012 A^3/atom
* SG: Cmcm

=====

Entry 22:
A plane-wave DFT calculation with PBE was carried out for a relaxed ZrScAs2 crystal.

Cell lengths 3.365, 3.584, 6.740 Å; angles 90.00, 104.27, 90.00 degrees
Fractional positions:
Zr: 0.000 0.000 0.000
Sc: 0.000 0.000 0.500
As: 0.469 0.500 0.756
As: 0.531 0.500 0.244

* energy of formation: -0.92 eV/atom
* calculated volume: 19.694 A^3/atom
* SG: P2/m

=====

Entry 23:
A plane-wave DFT calculation with PBE was carried out for a relaxed ZrScAs2 crystal.

Cell lengths 7.434, 7.434, 7.434 Å; angles 131.51, 131.51, 71.00 degrees
Fractional positions:
Zr: 0.000 0.000 0.000
Zr: 0.750 0.250 0.500
Sc: 0.250 0.750 0.500
Sc: 0.500 0.500 0.000
As: 0.122 0.625 0.997
As: 0.375 0.372 0.497
As: 0.628 0.125 0.003
As: 0.875 0.878 0.503

* energy of formation: -0.65 eV/atom
* calculated volume: 28.191 A^3/atom
* SG: I-42d

=====

Entry 24:
A plane-wave DFT calculation with PBE was carried out for a relaxed ZrSc2As crystal.

Cell lengths 5.872, 3.542, 8.503 Å; angles 90.00, 100.60, 90.00 degrees
Fractional positions:
Zr: 0.000 0.000 0.000
Zr: 0.311 0.500 0.270
Sc: 0.166 0.500 0.724
Sc: 0.498 0.000 0.011
Sc: 0.631 0.000 0.570
Sc: 0.821 0.500 0.301
As: 0.130 0.000 0.481
As: 0.700 0.500 0.811

* energy of formation: -0.63 eV/atom
* calculated volume: 21.729 A^3/atom
* SG: Pm

=====

Entry 25:
A plane-wave DFT calculation with PBE was carried out for a relaxed ZrSc2As crystal.

Cell lengths 8.854, 8.854, 8.854 Å; angles 23.24, 23.24, 23.24 degrees
Fractional positions:
Zr: 0.000 0.000 0.000
Sc: 0.537 0.537 0.537
Sc: 0.762 0.762 0.762
As: 0.267 0.267 0.267

* energy of formation: -0.47 eV/atom
* calculated volume: 23.714 A^3/atom
* SG: R3m

=====

Entry 26:
A plane-wave DFT calculation with PBE was carried out for a relaxed ZrSc2As crystal.

Cell lengths 5.369, 5.369, 3.547 Å; angles 101.80, 101.80, 115.59 degrees
Fractional positions:
Zr: 0.000 0.000 0.000
Sc: 0.422 0.820 0.371
Sc: 0.820 0.422 0.371
As: 0.407 0.407 0.726

* energy of formation: -0.55 eV/atom
* calculated volume: 21.288 A^3/atom
* SG: Cm

=====

Entry 27:
A plane-wave DFT calculation with PBE was carried out for a relaxed ZrScAs2 crystal.

Cell lengths 2.992, 2.992, 10.022 Å; angles 90.00, 90.00, 90.00 degrees
Fractional positions:
Zr: 0.000 0.000 0.000
Sc: 0.500 0.500 0.726
As: 0.000 0.000 0.535
As: 0.500 0.500 0.202

* energy of formation: -0.31 eV/atom
* calculated volume: 22.427 A^3/atom
* SG: P4mm

=====

What magnetic moment values result from the calculations? In sequence: 0.00 0.00 0.00 0.00 0.00 0.00 0.00 0.00 0.00 0.00 0.00 0.00 0.35 0.00 0.00 0.00 0.00 0.00 0.00 1.48 0.00 0.00 0.00 0.00 0.28 0.00 0.00 μB per cell.